NaAgTe2PdS | PBE | relaxed

Unit cell a=6.6602 b=6.6602 c=10.8996 alpha=90.00 beta=90.00 gamma=144.63
With the nearest neighbours (Å) after each atom.
Positions (direct):
Na 0.2296 0.7704 0.7500  2 S 2.97, 2 Te 3.12, 2 Ag 3.32
Na 0.7704 0.2296 0.2500  2 S 2.97, 2 Te 3.12, 2 Ag 3.32
Te 0.1449 0.8551 0.4811  1 Ag 2.73, 2 Pd 2.74
Te 0.8551 0.1449 0.9811  1 Ag 2.73, 2 Pd 2.74
Te 0.1449 0.8551 0.0189  1 Ag 2.73, 2 Pd 2.74
Te 0.8551 0.1449 0.5189  1 Ag 2.73, 2 Pd 2.74
S 0.4420 0.5580 0.2500  2 Ag 2.54, 2 Pd 2.82
S 0.5580 0.4420 0.7500  2 Ag 2.54, 2 Pd 2.82
Pd 0.5000 0.5000 0.0000  4 Te 2.74, 2 S 2.82
Pd 0.5000 0.5000 0.5000  4 Te 2.74, 2 S 2.82
Ag 0.0625 0.9375 0.2500  2 S 2.54, 2 Te 2.73
Ag 0.9375 0.0625 0.7500  2 S 2.54, 2 Te 2.73

Properties
Total energy   -3.560 eV/atom
Space-group type   No. 63
Calculated volume   23.32 A^3/atom